Record 1
A relaxed Ni3Ge4Pt crystal, computed with PBE-GGA.

```
data_Ni3Ge4Pt
_chemical_formula_sum 'Ni3 Ge4 Pt1'
_symmetry_space_group_name_H-M 'P 1 m 1'
_symmetry_Int_Tables_number 6
_cell_length_a 5.509
_cell_length_b 3.523
_cell_length_c 6.005
_cell_angle_alpha 90.00
_cell_angle_beta 90.16
_cell_angle_gamma 90.00
loop_
_symmetry_equiv_pos_as_xyz
'x,y,z'
'x,-y,z'
loop_
_atom_site_label
_atom_site_type_symbol
_atom_site_fract_x
_atom_site_fract_y
_atom_site_fract_z
Ni1 Ni 0.000 0.000 0.000
Ni2 Ni 0.012 0.500 0.619
Ni3 Ni 0.504 0.500 0.509
Ge1 Ge 0.177 0.500 0.236
Ge2 Ge 0.306 0.000 0.720
Ge3 Ge 0.703 0.500 0.883
Ge4 Ge 0.816 0.000 0.411
Pt1 Pt 0.500 0.000 0.122
```

Output
Magnetic moment in μB/f.u.: 0.0
ρ in g/cm3: 9.4
E in eV for the cell shown: -44.075


Record 2
A relaxed TbNp crystal, computed with PBE-GGA.

```
data_TbNp
_chemical_formula_sum 'Tb4 Np4'
_symmetry_space_group_name_H-M 'F m -3 m'
_symmetry_Int_Tables_number 225
_symmetry_space_group_name_Hall '-F 4 2 3'
_cell_length_a 6.273
_cell_length_b 6.273
_cell_length_c 6.273
_cell_angle_alpha 90.00
_cell_angle_beta 90.00
_cell_angle_gamma 90.00
loop_
_atom_site_label
_atom_site_type_symbol
_atom_site_fract_x
_atom_site_fract_y
_atom_site_fract_z
Tb1 Tb 0.000 0.000 0.000
Np1 Np 0.000 0.000 0.500
```

Output
Energy above the most stable polymorph in this dataset in meV per atom: 775
E_form in eV per atom: 1.25
Magnetic moment in μB/f.u.: 5.7
ρ in g/cm3: 10.7
E in eV for the cell shown: -59.572


Record 3
A relaxed NdAlAg2Ge crystal, computed with PBE-GGA.

```
data_NdAlAg2Ge
_chemical_formula_sum 'Nd2 Al2 Ag4 Ge2'
_symmetry_space_group_name_H-M 'P 4/n m m'
_symmetry_Int_Tables_number 129
_cell_length_a 4.305
_cell_length_b 4.305
_cell_length_c 11.246
_cell_angle_alpha 90.00
_cell_angle_beta 90.00
_cell_angle_gamma 90.00
loop_
_symmetry_equiv_pos_as_xyz
'x,y,z'
'-x,-y,-z'
'-y+1/2,x,z'
'y+1/2,-x,-z'
'-x+1/2,-y+1/2,z'
'x+1/2,y+1/2,-z'
'y,-x+1/2,z'
'-y,x+1/2,-z'
'x+1/2,-y,-z'
'-x+1/2,y,z'
'-y,-x,-z'
'y,x,z'
'-x,y+1/2,-z'
'x,-y+1/2,z'
'y+1/2,x+1/2,-z'
'-y+1/2,-x+1/2,z'
loop_
_atom_site_label
_atom_site_type_symbol
_atom_site_fract_x
_atom_site_fract_y
_atom_site_fract_z
Nd1 Nd 0.250 0.250 0.241
Al1 Al 0.250 0.750 0.500
Ag1 Ag 0.250 0.250 0.632
Ag2 Ag 0.250 0.750 0.000
Ge1 Ge 0.250 0.250 0.857
```

Output
Energy above the most stable polymorph in this dataset in meV per atom: 21
Magnetic moment in μB/f.u.: 0.0
ρ in g/cm3: 7.3
E in eV for the cell shown: -41.671


Record 4
A relaxed CoReNiAs crystal, computed with PBE-GGA.

```
data_CoReNiAs
_chemical_formula_sum 'Co4 Re4 Ni4 As4'
_symmetry_space_group_name_H-M 'F -4 3 m'
_symmetry_Int_Tables_number 216
_symmetry_space_group_name_Hall 'F -4 2 3'
_cell_length_a 5.863
_cell_length_b 5.863
_cell_length_c 5.863
_cell_angle_alpha 90.00
_cell_angle_beta 90.00
_cell_angle_gamma 90.00
loop_
_atom_site_label
_atom_site_type_symbol
_atom_site_fract_x
_atom_site_fract_y
_atom_site_fract_z
Co1 Co 0.000 0.000 0.000
Re1 Re 0.000 0.000 0.500
Ni1 Ni 0.250 0.250 0.250
As1 As 0.250 0.250 0.750
```

Output
Energy above the most stable polymorph in this dataset in meV per atom: 0
Magnetic moment in μB/f.u.: 0.3
ρ in g/cm3: 12.5
E in eV for the cell shown: -116.188


Record 5
A relaxed Nb4Zn3Mo2C3 crystal, computed with PBE-GGA.

```
data_Nb4Zn3Mo2C3
_chemical_formula_sum 'Nb16 Zn12 Mo8 C12'
_symmetry_space_group_name_H-M 'C 1 2/c 1'
_symmetry_Int_Tables_number 15
_cell_length_a 9.389
_cell_length_b 5.425
_cell_length_c 13.838
_cell_angle_alpha 90.00
_cell_angle_beta 103.14
_cell_angle_gamma 90.00
loop_
_symmetry_equiv_pos_as_xyz
'x,y,z'
'-x,-y,-z'
'-x,y,-z+1/2'
'x,-y,z+1/2'
'x+1/2,y+1/2,z'
'-x+1/2,-y+1/2,-z'
'-x+1/2,y+1/2,-z+1/2'
'x+1/2,-y+1/2,z+1/2'
loop_
_atom_site_label
_atom_site_type_symbol
_atom_site_fract_x
_atom_site_fract_y
_atom_site_fract_z
Nb1 Nb 0.113 0.083 0.091
Nb2 Nb 0.219 0.084 0.409
Zn1 Zn 0.000 0.122 0.750
Zn2 Zn 0.148 0.434 0.250
Mo1 Mo 0.057 0.416 0.920
C1 C 0.084 0.248 0.500
C2 C 0.250 0.250 0.000
```

Output
Magnetic moment in μB/f.u.: 0.0
ρ in g/cm3: 7.7
E in eV for the cell shown: -386.816


Record 6
A relaxed LiCoReSb crystal, computed with PBE-GGA.

```
data_LiCoReSb
_chemical_formula_sum 'Li4 Co4 Re4 Sb4'
_symmetry_space_group_name_H-M 'F -4 3 m'
_symmetry_Int_Tables_number 216
_symmetry_space_group_name_Hall 'F -4 2 3'
_cell_length_a 6.115
_cell_length_b 6.115
_cell_length_c 6.115
_cell_angle_alpha 90.00
_cell_angle_beta 90.00
_cell_angle_gamma 90.00
loop_
_atom_site_label
_atom_site_type_symbol
_atom_site_fract_x
_atom_site_fract_y
_atom_site_fract_z
Li1 Li 0.000 0.000 0.000
Co1 Co 0.250 0.250 0.750
Re1 Re 0.250 0.250 0.250
Sb1 Sb 0.000 0.000 0.500
```

Output
Energy above the most stable polymorph in this dataset in meV per atom: 0
Magnetic moment in μB/f.u.: 0.7
ρ in g/cm3: 10.9
E in eV for the cell shown: -96.844


Record 7
A relaxed RbSm2Ag3Te5 crystal, computed with PBE-GGA.

```
data_RbSm2Ag3Te5
_chemical_formula_sum 'Rb4 Sm8 Ag12 Te20'
_symmetry_space_group_name_H-M 'C m c m'
_symmetry_Int_Tables_number 63
_symmetry_space_group_name_Hall '-C 2c 2'
_cell_length_a 4.607
_cell_length_b 16.160
_cell_length_c 18.545
_cell_angle_alpha 90.00
_cell_angle_beta 90.00
_cell_angle_gamma 90.00
loop_
_atom_site_label
_atom_site_type_symbol
_atom_site_fract_x
_atom_site_fract_y
_atom_site_fract_z
Rb1 Rb 0.000 0.058 0.250
Sm1 Sm 0.000 0.189 0.594
Ag1 Ag 0.000 0.335 0.250
Ag2 Ag 0.000 0.412 0.528
Te1 Te 0.000 0.174 0.075
Te2 Te 0.000 0.262 0.750
Te3 Te 0.000 0.441 0.123
```

Output
Magnetic moment in μB/f.u.: 0.0
ρ in g/cm3: 6.5
E in eV for the cell shown: -178.114


Record 8
A relaxed Sm2SO6 crystal, computed with PBE-GGA.

```
data_Sm2SO6
_chemical_formula_sum 'Sm8 S4 O24'
_symmetry_space_group_name_H-M 'C 1 2/c 1'
_symmetry_Int_Tables_number 15
_cell_length_a 13.747
_cell_length_b 4.182
_cell_length_c 8.115
_cell_angle_alpha 90.00
_cell_angle_beta 107.44
_cell_angle_gamma 90.00
loop_
_symmetry_equiv_pos_as_xyz
'x,y,z'
'-x,-y,-z'
'-x,y,-z+1/2'
'x,-y,z+1/2'
'x+1/2,y+1/2,z'
'-x+1/2,-y+1/2,-z'
'-x+1/2,y+1/2,-z+1/2'
'x+1/2,-y+1/2,z+1/2'
loop_
_atom_site_label
_atom_site_type_symbol
_atom_site_fract_x
_atom_site_fract_y
_atom_site_fract_z
Sm1 Sm 0.169 0.008 0.084
S1 S 0.000 0.444 0.250
O1 O 0.000 0.233 0.101
O2 O 0.093 0.358 0.797
O3 O 0.246 0.485 0.623
```

Output
Magnetic moment in μB/f.u.: 0.0
ρ in g/cm3: 6.4
E in eV for the cell shown: -269.510


Record 9
A relaxed LaZnNO crystal, computed with PBE-GGA.

```
data_LaZnNO
_chemical_formula_sum 'La2 Zn2 N2 O2'
_symmetry_space_group_name_H-M 'P 4/n m m'
_symmetry_Int_Tables_number 129
_cell_length_a 5.095
_cell_length_b 5.095
_cell_length_c 4.626
_cell_angle_alpha 90.00
_cell_angle_beta 90.00
_cell_angle_gamma 90.00
loop_
_symmetry_equiv_pos_as_xyz
'x,y,z'
'-x,-y,-z'
'-y+1/2,x,z'
'y+1/2,-x,-z'
'-x+1/2,-y+1/2,z'
'x+1/2,y+1/2,-z'
'y,-x+1/2,z'
'-y,x+1/2,-z'
'x+1/2,-y,-z'
'-x+1/2,y,z'
'-y,-x,-z'
'y,x,z'
'-x,y+1/2,-z'
'x,-y+1/2,z'
'y+1/2,x+1/2,-z'
'-y+1/2,-x+1/2,z'
loop_
_atom_site_label
_atom_site_type_symbol
_atom_site_fract_x
_atom_site_fract_y
_atom_site_fract_z
La1 La 0.250 0.750 0.000
Zn1 Zn 0.250 0.250 0.477
N1 N 0.250 0.250 0.029
O1 O 0.250 0.750 0.500
```

Output
Energy above the most stable polymorph in this dataset in meV per atom: 254
Magnetic moment in μB/f.u.: 0.0
ρ in g/cm3: 6.5
E in eV for the cell shown: -48.879


Record 10
A relaxed KNdSi crystal, computed with PBE-GGA.

```
data_KNdSi
_chemical_formula_sum 'K4 Nd4 Si4'
_symmetry_space_group_name_H-M 'F -4 3 m'
_symmetry_Int_Tables_number 216
_symmetry_space_group_name_Hall 'F -4 2 3'
_cell_length_a 7.401
_cell_length_b 7.401
_cell_length_c 7.401
_cell_angle_alpha 90.00
_cell_angle_beta 90.00
_cell_angle_gamma 90.00
loop_
_atom_site_label
_atom_site_type_symbol
_atom_site_fract_x
_atom_site_fract_y
_atom_site_fract_z
K1 K 0.000 0.000 0.000
Nd1 Nd 0.000 0.000 0.500
Si1 Si 0.250 0.250 0.250
```

Output
Energy above the most stable polymorph in this dataset in meV per atom: 0
Magnetic moment in μB/f.u.: 0.0
ρ in g/cm3: 3.5
E in eV for the cell shown: -44.154


Record 11
A relaxed TbPrPb crystal, computed with PBE-GGA.

```
data_TbPrPb
_chemical_formula_sum 'Tb4 Pr4 Pb4'
_symmetry_space_group_name_H-M 'F -4 3 m'
_symmetry_Int_Tables_number 216
_symmetry_space_group_name_Hall 'F -4 2 3'
_cell_length_a 7.473
_cell_length_b 7.473
_cell_length_c 7.473
_cell_angle_alpha 90.00
_cell_angle_beta 90.00
_cell_angle_gamma 90.00
loop_
_atom_site_label
_atom_site_type_symbol
_atom_site_fract_x
_atom_site_fract_y
_atom_site_fract_z
Tb1 Tb 0.000 0.000 0.000
Pr1 Pr 0.000 0.000 0.500
Pb1 Pb 0.250 0.250 0.750
```

Output
Energy above the most stable polymorph in this dataset in meV per atom: 0
Magnetic moment in μB/f.u.: 0.1
ρ in g/cm3: 8.1
E in eV for the cell shown: -55.316


Record 12
A relaxed SrCuAg2 crystal, computed with PBE-GGA.

```
data_SrCuAg2
_chemical_formula_sum 'Sr4 Cu4 Ag8'
_symmetry_space_group_name_H-M 'F -4 3 m'
_symmetry_Int_Tables_number 216
_symmetry_space_group_name_Hall 'F -4 2 3'
_cell_length_a 7.060
_cell_length_b 7.060
_cell_length_c 7.060
_cell_angle_alpha 90.00
_cell_angle_beta 90.00
_cell_angle_gamma 90.00
loop_
_atom_site_label
_atom_site_type_symbol
_atom_site_fract_x
_atom_site_fract_y
_atom_site_fract_z
Sr1 Sr 0.000 0.000 0.000
Cu1 Cu 0.250 0.250 0.250
Ag1 Ag 0.000 0.000 0.500
Ag2 Ag 0.250 0.250 0.750
```

Output
ρ in g/cm3: 6.9
E in eV for the cell shown: -44.106